VASP calculation (PBE) on a geometry-optimized SrMnRh2 structure.

abc: 4.080 4.080 8.950
angles: 90.00 90.00 90.00
Space group I-4m2 (No. 119)
Asymmetric unit:
Sr 0.000 0.000 0.000 [2 per cell]
Mn 0.000 0.500 0.750 [2 per cell]
Rh 0.000 0.000 0.500 [2 per cell]
Rh 0.000 0.500 0.250 [2 per cell]

Values from the calculation:
Calculated density in Mg/m³: 7.765
D(E_F) in states/eV/f.u.: 4.68
Energy relative to the elements in eV/atom: 0.296
Distance to the lowest polymorph of the same formula in eV/f.u.: 1.45

---

VASP calculation (PBE) on a geometry-optimized LiPmAlIr structure.

abc: 6.649 6.649 6.649
angles: 90.00 90.00 90.00
Space group F-43m (No. 216)
Asymmetric unit:
Li 0.000 0.000 0.000 [4 per cell]
Pm 0.250 0.250 0.250 [4 per cell]
Al 0.250 0.250 0.750 [4 per cell]
Ir 0.000 0.000 0.500 [4 per cell]

Values from the calculation:
Calculated density in Mg/m³: 8.385
D(E_F) in states/eV/f.u.: 3.82
Energy relative to the elements in eV/atom: -0.485

---

Among the records above, which one has the highest D(E_F)? SrMnRh2

---

Which value of calculated density does entry 1 give? 7.765 Mg/m³

---

Please write out number 1 again, unchanged.
VASP calculation (PBE) on a geometry-optimized SrMnRh2 structure.

abc: 4.080 4.080 8.950
angles: 90.00 90.00 90.00
Space group I-4m2 (No. 119)
Asymmetric unit:
Sr 0.000 0.000 0.000 [2 per cell]
Mn 0.000 0.500 0.750 [2 per cell]
Rh 0.000 0.000 0.500 [2 per cell]
Rh 0.000 0.500 0.250 [2 per cell]

Values from the calculation:
Calculated density in Mg/m³: 7.765
D(E_F) in states/eV/f.u.: 4.68
Energy relative to the elements in eV/atom: 0.296
Distance to the lowest polymorph of the same formula in eV/f.u.: 1.45

---

Look up the D(E_F) of the first one. 4.68 states/eV/f.u.